A plane-wave DFT calculation with GGA-PBE was carried out for crystalline Y2GaSi at its relaxed geometry.

Cell lengths 3.961, 5.787, 8.630 Å; angles 111.94, 90.00, 90.00 degrees
Fractional positions:
Y1 0.750 0.222 0.427
Y2 0.250 0.778 0.573
Y3 0.750 0.217 0.932
Y4 0.250 0.783 0.068
Si1 0.250 0.350 0.211
Si2 0.750 0.650 0.789
Ga1 0.250 0.346 0.711
Ga2 0.750 0.654 0.289

Values from the calculation:
The calculation puts the energy at -49.0 eV/cell. For the raw formation energy, the calculation gives -781 meV/atom. The calculation puts the volume at 183.5 Å³/cell.



A plane-wave DFT calculation with GGA-PBE was carried out for crystalline Y2GaSi at its relaxed geometry.

Cell lengths 3.818, 3.818, 8.243 Å; angles 76.61, 76.61, 60.00 degrees
Fractional positions:
Si1 0.000 0.000 0.000
Y1 0.256 0.256 0.232
Y2 0.744 0.744 0.768
Ga1 0.500 0.500 0.500

Values from the calculation:
The calculation puts the energy at -23.2 eV/cell. For the raw formation energy, the calculation gives -454 meV/atom. The calculation puts the volume at 100.3 Å³/cell.



A plane-wave DFT calculation with GGA-PBE was carried out for crystalline YGa2Si2 at its relaxed geometry.

Cell lengths 4.079, 4.079, 6.420 Å; angles 71.47, 71.47, 90.00 degrees
Fractional positions:
Ga1 0.250 0.750 0.500
Ga2 0.750 0.250 0.500
Si1 0.601 0.601 0.798
Si2 0.399 0.399 0.202
Y1 0.000 0.000 0.000

Values from the calculation:
The calculation puts the energy at -24.3 eV/cell. For the raw formation energy, the calculation gives -181 meV/atom. The calculation puts the volume at 95.4 Å³/cell.



A plane-wave DFT calculation with GGA-PBE was carried out for crystalline Y2GaSi3 at its relaxed geometry.

Cell lengths 4.212, 4.074, 7.518 Å; angles 105.72, 106.27, 90.00 degrees
Fractional positions:
Y1 0.870 0.370 0.740
Y2 0.129 0.129 0.258
Si1 0.712 0.712 0.424
Si2 0.287 0.787 0.573
Si3 0.545 0.545 0.090
Ga1 0.457 0.957 0.914

Values from the calculation:
The calculation puts the energy at -35.8 eV/cell. For the raw formation energy, the calculation gives -591 meV/atom. The calculation puts the volume at 118.8 Å³/cell.



A plane-wave DFT calculation with GGA-PBE was carried out for crystalline YZnGa2Si at its relaxed geometry.

Cell lengths 4.769, 4.769, 5.409 Å; angles 90.00, 90.00, 90.00 degrees
Fractional positions:
Zn1 0.500 0.500 0.500
Y1 0.000 0.000 0.500
Ga1 0.000 0.500 0.000
Ga2 0.500 0.000 0.000
Si1 0.000 0.000 0.000

Values from the calculation:
The calculation puts the energy at -18.3 eV/cell. For the raw formation energy, the calculation gives 185 meV/atom. The calculation puts the volume at 123.0 Å³/cell.



A plane-wave DFT calculation with GGA-PBE was carried out for crystalline YZrGaSi2 at its relaxed geometry.

Cell lengths 5.057, 5.089, 5.057 Å; angles 90.00, 90.00, 90.00 degrees
Fractional positions:
Si1 0.000 0.000 0.500
Si2 0.500 0.000 0.000
Y1 0.000 0.000 0.000
Zr1 0.500 0.500 0.500
Ga1 0.000 0.500 0.000

Values from the calculation:
The calculation puts the energy at -24.0 eV/cell. For the raw formation energy, the calculation gives 967 meV/atom. The calculation puts the volume at 130.1 Å³/cell.



A plane-wave DFT calculation with GGA-PBE was carried out for crystalline Zn2GaSi2 at its relaxed geometry.

Cell lengths 6.742, 6.742, 3.759 Å; angles 90.00, 90.00, 90.00 degrees
Fractional positions:
Si1 0.625 0.125 0.000
Si2 0.375 0.875 0.000
Si3 0.125 0.375 0.000
Si4 0.875 0.625 0.000
Ga1 0.500 0.500 0.000
Ga2 0.000 0.000 0.000
Zn1 0.682 0.818 0.500
Zn2 0.818 0.318 0.500
Zn3 0.318 0.182 0.500
Zn4 0.182 0.682 0.500

Values from the calculation:
The calculation puts the energy at -29.9 eV/cell. As for the relative energy among the computed polymorphs: 89 meV/atom. For the raw formation energy, the calculation gives 291 meV/atom. The calculation puts the volume at 170.9 Å³/cell.



A plane-wave DFT calculation with GGA-PBE was carried out for crystalline ZnGa2Si2 at its relaxed geometry.

Cell lengths 6.711, 6.711, 3.887 Å; angles 90.00, 90.00, 90.00 degrees
Fractional positions:
Ga1 0.817 0.317 0.500
Ga2 0.683 0.817 0.500
Ga3 0.317 0.183 0.500
Ga4 0.183 0.683 0.500
Si1 0.873 0.627 0.000
Si2 0.127 0.373 0.000
Si3 0.627 0.127 0.000
Si4 0.373 0.873 0.000
Zn1 0.500 0.500 0.000
Zn2 0.000 0.000 0.000

Values from the calculation:
The calculation puts the energy at -33.8 eV/cell. As for the relative energy among the computed polymorphs: 7 meV/atom. For the raw formation energy, the calculation gives 255 meV/atom. The calculation puts the volume at 175.0 Å³/cell.



A plane-wave DFT calculation with GGA-PBE was carried out for crystalline ZnGa2Si2 at its relaxed geometry.

Cell lengths 4.422, 4.422, 5.801 Å; angles 67.59, 67.59, 90.00 degrees
Fractional positions:
Ga1 0.750 0.250 0.500
Ga2 0.250 0.750 0.500
Si1 0.382 0.382 0.236
Si2 0.618 0.618 0.764
Zn1 0.000 0.000 0.000

Values from the calculation:
The calculation puts the energy at -16.9 eV/cell. As for the relative energy among the computed polymorphs: 0 meV/atom. For the raw formation energy, the calculation gives 248 meV/atom. The calculation puts the volume at 95.5 Å³/cell.



A plane-wave DFT calculation with GGA-PBE was carried out for crystalline ZnGa2Si at its relaxed geometry.

Cell lengths 4.621, 4.621, 4.621 Å; angles 60.00, 60.00, 60.00 degrees
Fractional positions:
Zn1 0.500 0.500 0.500
Ga1 0.250 0.250 0.250
Ga2 0.750 0.750 0.750
Si1 0.000 0.000 0.000

Values from the calculation:
The calculation puts the energy at -11.7 eV/cell. As for the relative energy among the computed polymorphs: 97 meV/atom. For the raw formation energy, the calculation gives 253 meV/atom. The calculation puts the volume at 69.8 Å³/cell.



A plane-wave DFT calculation with GGA-PBE was carried out for crystalline ZnGaSi at its relaxed geometry.

Cell lengths 4.276, 4.276, 4.276 Å; angles 60.00, 60.00, 60.00 degrees
Fractional positions:
Si1 0.250 0.250 0.250
Ga1 0.500 0.500 0.500
Zn1 0.000 0.000 0.000

Values from the calculation:
The calculation puts the energy at -9.2 eV/cell. For the raw formation energy, the calculation gives 165 meV/atom. The calculation puts the volume at 55.3 Å³/cell.



A plane-wave DFT calculation with GGA-PBE was carried out for crystalline ZnGa2Si2 at its relaxed geometry.

Cell lengths 7.635, 7.635, 2.969 Å; angles 90.00, 90.00, 90.00 degrees
Fractional positions:
Ga1 0.652 0.152 0.000
Ga2 0.848 0.652 0.000
Ga3 0.152 0.348 0.000
Ga4 0.348 0.848 0.000
Zn1 0.500 0.500 0.000
Zn2 0.000 0.000 0.000
Si1 0.354 0.146 0.500
Si2 0.146 0.646 0.500
Si3 0.646 0.854 0.500
Si4 0.854 0.354 0.500

Values from the calculation:
The calculation puts the energy at -33.0 eV/cell. As for the relative energy among the computed polymorphs: 90 meV/atom. For the raw formation energy, the calculation gives 338 meV/atom. The calculation puts the volume at 173.0 Å³/cell.